1.
A plane-wave DFT calculation with PBE was carried out for crystalline BeCd2P at its relaxed geometry.

## Properties
DFT total energy: -2.610 eV/atom
E_form: 0.13 eV/atom
D(E_F): 0.95 states/eV/cell

a b c (Å): 4.1096 3.5927 5.2622
angles (deg): 90.00 109.73 90.00
Element x y z (fractional)
Be (0.0000, 0.0000, 0.0000)
Cd (0.4298, 0.5000, 0.8175)
Cd (0.7559, 0.0000, 0.4827)
P (0.1255, 0.5000, 0.2252)


2.
A plane-wave DFT calculation with PBE was carried out for crystalline Be2CdP at its relaxed geometry.

## Properties
DFT total energy: -3.239 eV/atom
E_form: 0.20 eV/atom
D(E_F): 0.95 states/eV/cell

a b c (Å): 6.0483 6.0483 6.0483
angles (deg): 149.51 149.25 43.85
Element x y z (fractional)
Be (0.0000, 0.0000, 0.0000)
Be (0.8561, 0.3561, 0.5000)
Cd (0.2150, 0.7150, 0.5000)
P (0.4898, 0.4898, 0.0000)


3.
A plane-wave DFT calculation with PBE was carried out for crystalline Be2CdP at its relaxed geometry.

## Properties
DFT total energy: -3.296 eV/atom
E_form: 0.15 eV/atom
D(E_F): 0.83 states/eV/cell

a b c (Å): 3.9290 3.9290 5.5596
angles (deg): 99.57 99.57 50.61
Element x y z (fractional)
Be (0.0000, 0.0000, 0.0000)
Be (0.7046, 0.7046, 0.9245)
Cd (0.3002, 0.3002, 0.3111)
P (0.4075, 0.4075, 0.7772)


4.
A plane-wave DFT calculation with PBE was carried out for crystalline BeCd2P at its relaxed geometry.

## Properties
DFT total energy: -2.094 eV/atom
E_form: 0.65 eV/atom
D(E_F): 2.83 states/eV/cell

a b c (Å): 4.7127 4.7127 4.7127
angles (deg): 60.00 60.00 60.00
Element x y z (fractional)
Be (0.0000, 0.0000, 0.0000)
Cd (0.5000, 0.5000, 0.5000)
Cd (0.7500, 0.7500, 0.7500)
P (0.2500, 0.2500, 0.2500)


5.
A plane-wave DFT calculation with PBE was carried out for crystalline Be2CdP at its relaxed geometry.

## Properties
DFT total energy: -2.866 eV/atom
E_form: 0.58 eV/atom
D(E_F): 1.06 states/eV/cell

a b c (Å): 5.1513 5.1513 5.1513
angles (deg): 140.02 140.02 57.83
Element x y z (fractional)
Be (0.0000, 0.0000, 0.0000)
Be (0.7500, 0.2500, 0.5000)
Cd (0.2500, 0.7500, 0.5000)
P (0.5000, 0.5000, 0.0000)


6.
A plane-wave DFT calculation with PBE was carried out for crystalline Be2CdP at its relaxed geometry.

## Properties
DFT total energy: -3.022 eV/atom
E_form: 0.42 eV/atom
D(E_F): 1.56 states/eV/cell

a b c (Å): 2.7372 3.3726 6.4865
angles (deg): 90.00 99.01 90.00
Element x y z (fractional)
Be (0.0487, 0.0000, 0.2963)
Be (0.9513, 0.0000, 0.7037)
Cd (0.5000, 0.5000, 0.0000)
P (0.0000, 0.5000, 0.5000)


7.
A plane-wave DFT calculation with PBE was carried out for crystalline BeCd2P at its relaxed geometry.

## Properties
DFT total energy: -2.216 eV/atom
E_form: 0.53 eV/atom
D(E_F): 1.38 states/eV/cell

a b c (Å): 5.7084 5.7084 5.7084
angles (deg): 152.13 122.82 64.79
Element x y z (fractional)
Be (0.0000, 0.0000, 0.0000)
Cd (0.2269, 0.7269, 0.5000)
Cd (0.7731, 0.2731, 0.5000)
P (0.5000, 0.5000, 0.0000)


8.
A plane-wave DFT calculation with PBE was carried out for crystalline Be2CdP at its relaxed geometry.

## Properties
DFT total energy: -2.807 eV/atom
E_form: 0.64 eV/atom
D(E_F): 1.45 states/eV/cell

a b c (Å): 4.6511 4.6511 4.6511
angles (deg): 130.84 130.84 72.07
Element x y z (fractional)
Be (0.2500, 0.7500, 0.5000)
Be (0.7500, 0.2500, 0.5000)
Cd (0.0000, 0.0000, 0.0000)
P (0.5000, 0.5000, 0.0000)


What size of the total moment values result from the calculations? In sequence: 0.000; 0.000; 0.000; 0.000; 0.000; 0.000; 0.000; 0.000 μB per atom.